# RbCuNi2Cl8

Crystalline RbCuNi2Cl8 at its relaxed geometry (PBE, the Alexandria database).

Cell: 9.9535 9.9535 9.9535 Å, 36.66 36.66 36.66°
With the nearest neighbours (Å) after each atom.
Positions (direct):
Rb 0.0000 0.0000 0.0000  12 Cl 3.63-3.85
Cu 0.5000 0.5000 0.5000  6 Cl 2.47
Ni 0.2416 0.2416 0.2416  4 Cl 2.18-2.19
Ni 0.7584 0.7584 0.7584  4 Cl 2.18-2.19
Cl 0.1263 0.4554 0.7611  1 Ni 2.19
Cl 0.2389 0.8737 0.5446  1 Ni 2.19
Cl 0.3198 0.3198 0.3198  1 Ni 2.18
Cl 0.4554 0.7611 0.1263  1 Ni 2.19
Cl 0.5446 0.2389 0.8737  1 Ni 2.19
Cl 0.6802 0.6802 0.6802  1 Ni 2.18
Cl 0.7611 0.1263 0.4554  1 Ni 2.19
Cl 0.8737 0.5446 0.2389  1 Ni 2.19

Output
- Uncorrected formation energy: -0.70 eV per atom
- V: 26.23 Å³ per atom